Compound: LiNiAs3
Source: Alexandria via LeMat-Bulk
Functional: SCAN
Structure: single point on PBEsol structure

Summary:
energy of formation	22.1	kJ per mole of atoms
SG	No. 221

```
LiNiAs3
1.0
-3.463 -2.363 1.934
2.867 -3.522 0.831
1.050 1.825 4.109
Ni As Li
1 3 1
Cartesian
0.000 0.000 0.000 Ni
1.434 -1.761 0.416 As
-1.731 -1.181 0.967 As
0.525 0.912 2.054 As
0.227 -2.030 3.437 Li
```

***

Compound: YCu2Ni
Source: Alexandria via LeMat-Bulk
Functional: SCAN
Structure: single point on PBEsol structure

Summary:
energy of formation	-7.5	kJ per mole of atoms
SG	No. 44

```
YCu2Ni
1.0
-1.507 3.412 1.085
-1.692 0.364 -3.494
-1.560 -3.709 2.544
Y Cu Ni
1 2 1
Cartesian
-2.425 -0.728 -1.077 Y
-2.332 0.796 1.212 Cu
-0.003 -0.002 0.001 Cu
-3.156 -1.820 1.339 Ni
```

***

Compound: YTe2
Source: Alexandria via LeMat-Bulk
Functional: SCAN
Structure: single point on PBEsol structure

Summary:
ΔE_f (raw)	-4.0	eV per formula unit
SG	No. 129

```
YTe2
1.0
4.382 0.000 0.000
0.000 4.382 0.000
0.000 0.000 8.748
Te Y
4 2
Cartesian
2.191 2.191 0.000 Te
0.000 0.000 0.000 Te
0.000 2.191 3.249 Te
2.191 0.000 5.499 Te
0.000 2.191 6.386 Y
2.191 0.000 2.362 Y
```

***

Compound: CaHfMn2
Source: Alexandria via LeMat-Bulk
Functional: SCAN
Structure: single point on PBEsol structure

Summary:
energy of formation	24.3	kJ per mole of atoms
SG	No. 225

```
CaHfMn2
1.0
-4.464 1.307 -0.118
-2.756 -0.799 3.663
-1.455 3.549 2.634
Ca Mn Hf
1 2 1
Cartesian
0.000 0.000 0.000 Ca
-6.507 3.043 4.635 Mn
-2.169 1.014 1.545 Mn
-4.338 2.029 3.090 Hf
```

***

Compound: FeWSe
Source: Alexandria via LeMat-Bulk
Functional: SCAN
Structure: single point on PBEsol structure

Summary:
ΔE_f (raw)	2.7	eV per formula unit
SG	No. 216

```
FeWSe
1.0
-1.281 2.836 2.523
-3.714 1.462 -0.348
-2.766 -0.877 2.763
W Se Fe
1 1 1
Cartesian
0.000 0.000 0.000 W
-5.821 2.566 3.703 Se
-3.880 1.710 2.469 Fe
```

***

Compound: Cr2SiSb
Source: Alexandria via LeMat-Bulk
Functional: SCAN
Structure: single point on PBEsol structure

Summary:
ΔE_f (raw)	1.2	eV per formula unit
SG	No. 38

```
Cr2SiSb
1.0
2.998 0.000 0.000
0.000 4.384 0.000
-1.499 0.000 4.610
Sb Si Cr
1 1 2
Cartesian
1.499 0.000 3.981 Sb
0.000 2.192 2.717 Si
0.000 0.000 1.823 Cr
1.499 2.192 0.732 Cr
```

***

Compound: Al2CuSb
Source: Alexandria via LeMat-Bulk
Functional: SCAN
Structure: single point on PBEsol structure

Summary:
ΔE_f (raw)	0.5	eV per formula unit
SG	No. 166

```
Al2CuSb
1.0
3.121 0.000 0.000
1.561 2.703 0.000
1.561 0.901 8.541
Cu Sb Al
1 1 2
Cartesian
3.121 1.802 4.271 Cu
0.000 0.000 0.000 Sb
4.682 2.703 6.013 Al
1.561 0.901 2.529 Al
```

***

Compound: KNd3Te8
Source: Alexandria via LeMat-Bulk
Functional: SCAN
Structure: single point on PBEsol structure

Summary:
ΔE_f (raw)	-15.5	eV per formula unit
SG	No. 14

```
KNd3Te8
1.0
-7.444 0.551 4.786
1.296 -12.203 3.421
9.268 3.754 9.879
Nd Te K
12 32 4
Cartesian
-1.329 -2.255 4.349 Nd
-5.053 -1.964 6.738 Nd
7.810 -1.836 10.197 Nd
7.295 2.225 9.151 Nd
-0.540 -10.373 6.628 Nd
-4.176 -10.122 8.936 Nd
3.660 2.475 11.459 Nd
8.173 -5.934 11.348 Nd
-0.884 -6.344 5.406 Nd
4.449 -5.643 13.737 Nd
-4.691 -6.062 7.890 Nd
4.004 -1.554 12.681 Nd
-3.134 -7.411 10.370 Te
-3.453 -3.363 9.229 Te
6.572 -4.535 8.857 Te
-0.204 -0.572 1.836 Te
0.647 -8.819 4.076 Te
-3.908 -0.370 4.197 Te
-3.086 -8.441 6.441 Te
0.112 -3.638 6.930 Te
2.473 0.921 14.010 Te
0.241 -4.670 2.932 Te
2.879 -3.227 15.155 Te
3.323 -7.325 16.250 Te
3.008 -4.260 11.157 Te
-4.052 0.799 8.157 Te
2.534 -0.230 10.116 Te
6.205 0.543 11.646 Te
4.951 -6.281 10.480 Te
6.254 -0.487 7.717 Te
6.605 -3.455 12.695 Te
1.274 -6.427 12.991 Te
4.176 1.540 8.363 Te
-1.831 -1.616 7.607 Te
0.586 -7.667 7.971 Te
0.859 -1.996 11.824 Te
-3.485 -4.443 5.392 Te
7.172 -8.697 9.930 Te
1.846 -1.471 5.096 Te
2.261 -5.902 6.262 Te
7.028 -7.527 13.890 Te
3.291 -8.404 12.413 Te
-1.056 -9.437 9.724 Te
-0.171 0.506 5.674 Te
3.679 -9.209 8.852 K
-0.453 -5.068 10.161 K
-0.559 1.311 9.235 K
3.573 -2.830 7.925 K
```

***

Compound: TaHg4Cl
Source: Alexandria via LeMat-Bulk
Functional: SCAN
Structure: single point on PBEsol structure

Summary:
ΔE_f (raw)	4.2	eV per formula unit
SG	No. 216

```
TaHg4Cl
1.0
5.715 0.000 0.000
2.857 4.949 0.000
2.857 1.650 4.666
Hg Cl Ta
4 1 1
Cartesian
7.140 2.477 1.751 Hg
5.715 4.945 1.751 Hg
4.290 2.477 1.751 Hg
5.715 3.300 4.079 Hg
0.000 0.000 0.000 Cl
8.572 4.949 3.500 Ta
```

***

Compound: SrTa2CoRu
Source: Alexandria via LeMat-Bulk
Functional: SCAN
Structure: single point on PBEsol structure

Summary:
energy of formation	90.3	kJ per mole of atoms
SG	No. 123

```
SrTa2CoRu
1.0
4.752 0.000 0.000
0.000 4.752 0.000
0.000 0.000 4.832
Ta Co Sr Ru
2 1 1 1
Cartesian
2.376 0.000 0.000 Ta
0.000 2.376 0.000 Ta
0.000 0.000 2.416 Co
2.376 2.376 2.416 Sr
0.000 0.000 0.000 Ru
```

***

Compound: MnCr2Pb
Source: Alexandria via LeMat-Bulk
Functional: SCAN
Structure: single point on PBEsol structure

Summary:
energy of formation	58.5	kJ per mole of atoms
SG	No. 123

```
MnCr2Pb
1.0
-1.712 -2.992 0.557
1.337 -0.030 3.945
-3.375 2.147 1.160
Pb Cr Mn
1 2 1
Cartesian
-0.856 -1.496 0.279 Pb
-1.688 1.074 0.580 Cr
0.669 -0.015 1.972 Cr
-1.875 -0.438 2.831 Mn
```

***

Compound: Mo2SeSF
Source: Alexandria via LeMat-Bulk
Functional: SCAN
Structure: single point on PBEsol structure

Summary:
ΔE_f (raw)	5.3	eV per formula unit
SG	No. 123

```
Mo2SeSF
1.0
4.719 0.000 0.000
0.000 4.784 0.000
0.000 0.000 4.784
Mo F S Se
2 1 1 1
Cartesian
0.000 2.392 0.000 Mo
0.000 0.000 2.392 Mo
2.360 2.392 2.392 F
2.360 0.000 0.000 S
0.000 0.000 0.000 Se
```

***

Number 1: DOS at the Fermi energy 0.933 states/eV/atom. Number 2: DOS at the Fermi energy 0.346 states/eV/atom. Number 3: DOS at the Fermi energy 0.123 states/eV/atom. Number 4: DOS at the Fermi energy 0.904 states/eV/atom. Number 5: DOS at the Fermi energy 1.088 states/eV/atom. Number 6: DOS at the Fermi energy 0.613 states/eV/atom. Number 7: DOS at the Fermi energy 0.367 states/eV/atom. Number 8: DOS at the Fermi energy 0.004 states/eV/atom. Number 9: DOS at the Fermi energy 0.546 states/eV/atom. Number 10: DOS at the Fermi energy 0.918 states/eV/atom. Number 11: DOS at the Fermi energy 1.321 states/eV/atom. Number 12: DOS at the Fermi energy 0.493 states/eV/atom.